No. 1
A relaxed structure of OsS2F. Source: Alexandria via LeMat-Bulk, functional PBE-GGA.

Calculated values
uncorrected formation energy: -0.23 eV per atom
space-group type: I-42d

The structure in POSCAR format:
```
OsS2F
1.0
5.7648 0.0000 0.0000
0.0000 5.7648 0.0000
2.8824 2.8824 4.7767
S Os F
4 2 2
Cartesian
4.6127 1.4412 1.1942 S
1.1521 4.3236 1.1942 S
4.3236 4.0345 3.5825 S
7.2060 7.4951 3.5825 S
0.0000 0.0000 0.0000 Os
5.7648 2.8824 2.3883 Os
2.8824 2.8824 0.0000 F
2.8824 5.7648 2.3883 F
```

=====

No. 2
A relaxed structure of HfGeBi3. Source: Alexandria via LeMat-Bulk, functional PBE-GGA.

Calculated values
space-group type: Pm-3m
energy of formation: 56.82 kJ per mole of atoms

The structure in POSCAR format:
```
HfGeBi3
1.0
5.6221 0.0000 0.0000
0.0000 5.6221 0.0000
0.0000 0.0000 5.6221
Ge Hf Bi
1 1 3
Cartesian
2.8110 2.8110 2.8110 Ge
0.0000 0.0000 0.0000 Hf
0.0000 2.8110 0.0000 Bi
0.0000 0.0000 2.8110 Bi
2.8110 0.0000 0.0000 Bi
```

=====

no.,excess energy over the best structure of this formula in the dataset (kJ/mol of formula units),Fermi-level density of states (states/eV per atom)
1,41.2,0.41
2,0.0,0.82